# KHN2F | Alexandria | PBE | relaxed
# - Volume: 65 Å³ per cell
# - Spin magnetization: 2.17 Bohr magnetons per cell
# - Energy relative to the lowest polymorph listed for this composition: 0 meV per atom
data_KHN2F
_chemical_formula_sum 'K1 H1 N2 F1'
_cell_length_a 3.295
_cell_length_b 3.295
_cell_length_c 5.970
_cell_angle_alpha 90.00
_cell_angle_beta 90.00
_cell_angle_gamma 90.00
_space_group_name_H-M_alt 'P 1'
_space_group_IT_number 1
_space_group_name_Hall 'P 1'
loop_
_atom_site_label
_atom_site_fract_x
_atom_site_fract_y
_atom_site_fract_z
K1 0.000 0.000 0.000
H1 0.500 0.500 0.500
N1 0.000 0.500 0.500
N2 0.500 0.000 0.500
F1 0.500 0.500 0.000